Tm2OsN: optimized geometry, PBE.

The value obtained for the magnetization is 0.40 μB/f.u. Its uncorrected energy is -7.35 eV per atom. Its space-group type is R-3m, No. 166. As for the formation energy without anion corrections: -0.907 eV/f.u. The mass density comes out at 12.579 Mg/m³.

Lattice parameters (Å, degrees): 3.207 3.207 8.243 78.78 78.78 60.00
Each line ends with the local moment (μB).
Atoms (fractional coordinates):
Tm 0.109 0.109 0.672  0.00
Tm 0.891 0.891 0.328  0.00
N 0.500 0.500 0.500  0.00
Os 0.000 0.000 0.000  0.38